Entry 1:
8
Lattice="-2.4407 2.4407 7.4042 2.4407 -2.4407 7.4042 2.4407 2.4407 -7.4042" Properties=species:S:1:pos:R:3 comment="ZnAs2Au PBE optimized geometry" sg=I-42d pbc="T T T"
Zn 0.0000 0.0000 0.0000
Zn 0.0000 2.4407 3.7021
As 3.6610 1.1879 -1.8511
As 1.1879 1.2203 1.8511
As -1.2203 1.2528 5.5532
As 1.2528 1.2203 9.2553
Au 2.4407 0.0000 3.7021
Au 0.0000 0.0000 7.4042

Entry 2:
4
Lattice="2.7042 -3.6942 0.0000 2.7042 3.6942 0.0000 0.0000 0.0000 3.7351" Properties=species:S:1:pos:R:3 comment="ZnAs2Au PBE optimized geometry" sg=Cmmm pbc="T T T"
Zn 0.0000 0.0000 0.0000
As 1.3521 1.8471 1.8675
As 1.3521 -1.8471 1.8675
Au 2.7042 0.0000 0.0000

Entry 3:
80
Lattice="-7.5899 7.5899 7.5899 7.5899 -7.5899 7.5899 7.5899 7.5899 -7.5899" Properties=species:S:1:pos:R:3 comment="Zn3As5Au12 PBE optimized geometry" sg=Ia-3d pbc="T T T"
Zn 3.7949 1.8975 0.0000
Zn 7.5899 3.7949 -1.8975
Zn 1.8975 0.0000 3.7949
Zn 9.4873 0.0000 3.7949
Zn 0.0000 3.7949 1.8975
Zn 3.7949 -1.8975 7.5899
Zn 3.7949 9.4873 0.0000
Zn 7.5899 3.7949 5.6924
Zn -1.8975 7.5899 3.7949
Zn 5.6924 7.5899 3.7949
Zn 0.0000 3.7949 9.4873
Zn 3.7949 5.6924 7.5899
As 0.0000 0.0000 0.0000
As 3.7949 3.7949 -3.7949
As 3.7949 -3.7949 3.7949
As 7.5899 0.0000 0.0000
As 11.3848 1.8975 0.0000
As 7.5899 -3.7949 5.6924
As 5.6924 7.5899 -3.7949
As 5.6924 0.0000 3.7949
As 3.7949 5.6924 0.0000
As 7.5899 3.7949 1.8975
As -3.7949 3.7949 3.7949
As 0.0000 7.5899 0.0000
As 0.0000 0.0000 7.5899
As 3.7949 3.7949 3.7949
As 0.0000 3.7949 5.6924
As 3.7949 1.8975 7.5899
As 1.8975 7.5899 3.7949
As 1.8975 0.0000 11.3848
As 0.0000 11.3848 1.8975
As -3.7949 5.6924 7.5899
Au 2.3302 -0.1880 1.1260
Au 9.0546 4.9209 -3.9830
Au 7.4018 -1.1260 2.3302
Au 11.5729 -1.4648 2.6690
Au 9.9201 0.1880 1.1260
Au 9.0546 -2.6690 3.9830
Au 1.1260 2.3302 -0.1880
Au 10.2588 3.6069 -1.4648
Au 4.9209 3.9830 -1.4648
Au 6.4639 2.3302 0.1880
Au -0.1880 1.1260 2.3302
Au 3.9830 -1.4648 4.9209
Au 7.4018 6.4639 -2.3302
Au 3.9830 1.4648 2.6690
Au 6.4639 -2.3302 7.4018
Au 4.9209 -3.9830 9.0546
Au 2.6690 3.9830 1.4648
Au 8.7159 5.2597 0.1880
Au 2.3302 7.4018 -1.1260
Au 9.0546 2.6690 3.6069
Au 3.9830 9.0546 -2.6690
Au 7.4018 1.1260 5.2597
Au 1.4648 2.6690 3.9830
Au 2.3302 0.1880 6.4639
Au 5.2597 7.4018 1.1260
Au 6.1251 4.9209 3.6069
Au 0.1880 6.4639 2.3302
Au 3.6069 -1.4648 10.2588
Au -1.4648 4.9209 3.9830
Au 5.2597 0.1880 8.7159
Au -1.1260 2.3302 7.4018
Au 4.9209 3.6069 6.1251
Au 2.6690 11.5729 -1.4648
Au 1.1260 9.9201 0.1880
Au 3.6069 6.1251 4.9209
Au 0.1880 1.1260 9.9201
Au 3.6069 9.0546 2.6690
Au 7.7779 6.4639 5.2597
Au 1.1260 5.2597 7.4018
Au 2.6690 3.6069 9.0546
Au -2.6690 3.9830 9.0546
Au 6.4639 5.2597 7.7779
Au -1.4648 10.2588 3.6069
Au -2.3302 7.4018 6.4639
Au -3.9830 9.0546 4.9209
Au 0.1880 8.7159 5.2597
Au -1.4648 2.6690 11.5729
Au 5.2597 7.7779 6.4639

Entry 4:
4
Lattice="5.5456 -1.8314 0.0000 5.5456 1.8314 0.0000 -1.1489 0.0000 4.0239" Properties=species:S:1:pos:R:3 comment="ZnAs2Au PBE optimized geometry" sg=C2/m pbc="T T T"
Zn 0.0000 0.0000 0.0000
As 2.5258 0.0000 1.2378
As 7.4165 0.0000 2.7861
Au 4.9711 0.0000 2.0120

Entry 5:
4
Lattice="1.5142 0.8742 9.2986 -1.5142 0.8742 9.2986 0.0000 -1.7485 9.2986" Properties=species:S:1:pos:R:3 comment="ZnAs2Au PBE optimized geometry" sg=R3m pbc="T T T"
Zn 0.0000 0.0000 0.0000
As 0.0000 0.0000 14.1763
As 0.0000 0.0000 20.6752
Au 0.0000 0.0000 7.1748

Entry 6:
4
Lattice="3.8337 0.0000 0.0000 0.0000 3.8337 0.0000 0.0000 0.0000 5.3298" Properties=species:S:1:pos:R:3 comment="ZnAs2Au PBE optimized geometry" sg=P4/mmm pbc="T T T"
Zn 0.0000 0.0000 0.0000
As 0.0000 0.0000 2.6649
As 1.9168 1.9168 2.6649
Au 1.9168 1.9168 0.0000

Entry 7:
4
Lattice="0.0000 3.4346 3.4346 3.4346 0.0000 3.4346 3.4346 3.4346 0.0000" Properties=species:S:1:pos:R:3 comment="Zr2AsAu PBE optimized geometry" sg=F-43m pbc="T T T"
Zr 0.0000 0.0000 0.0000
Zr 1.7173 1.7173 1.7173
As 5.1519 5.1519 5.1519
Au 3.4346 3.4346 3.4346

Entry 8:
4
Lattice="1.8865 1.0892 6.9424 -1.8865 1.0892 6.9424 0.0000 -2.1784 6.9424" Properties=species:S:1:pos:R:3 comment="Zr2AsAu PBE optimized geometry" sg=R-3m pbc="T T T"
Zr 0.0000 0.0000 5.0418
Zr 0.0000 0.0000 15.7853
As 0.0000 0.0000 10.4135
Au 0.0000 0.0000 0.0000

Computed calculated formation energy (eV/atom) in order:
0.129; 0.195; 0.089; -0.027; 0.220; 0.046; 0.063; -0.734